[1]
# V2AgP3O11

A relaxed structure of V2AgP3O11 (PBEsol, Alexandria via LeMat-Bulk).

Properties
Total energy = -7.7874 eV/atom
Energy relative to the elements, uncorrected = -2.0406 eV/atom
Volume = 780 Å³ per cell
Density of states at the Fermi level = 28.9 states/eV per cell
Total magnetization = 4.00 μB/f.u.

Cell: 11.5738 8.5565 8.7240 Å, 90.00 115.39 90.00°
With the nearest neighbours (Å) after each atom.
Space group C2 (No. 5)
One atom of each set of equivalent atoms:
1 V 0.1267 0.0000 0.2918 (multiplicity 4)  6 O 1.89-2.08
2 V 0.1267 0.4757 0.7919 (multiplicity 4)  6 O 1.89-2.08
3 Ag 0.2499 0.4865 0.2507 (multiplicity 4)  2 O 2.36
4 P 0.0000 0.1939 0.5000 (multiplicity 2)  4 O 1.53-1.56
5 P 0.0000 0.2818 0.0000 (multiplicity 2)  4 O 1.53-1.56
6 P 0.1112 0.6748 0.4626 (multiplicity 4)  4 O 1.51-1.60
7 P 0.1111 0.8008 0.9625 (multiplicity 4)  4 O 1.51-1.60
8 O 0.0000 0.7231 0.0000 (multiplicity 2)  2 P 1.60
9 O 0.0000 0.7525 0.5000 (multiplicity 2)  2 P 1.60
10 O 0.0497 0.5678 0.3086 (multiplicity 4)  1 P 1.53
11 O 0.0496 0.9079 0.8087 (multiplicity 4)  1 P 1.53
12 O 0.0680 0.1826 0.1597 (multiplicity 4)  1 P 1.53
13 O 0.0680 0.2931 0.6596 (multiplicity 4)  1 P 1.53
14 O 0.1039 0.0873 0.4855 (multiplicity 4)  1 P 1.56
15 O 0.1039 0.3884 0.9856 (multiplicity 4)  1 P 1.56
16 O 0.1878 0.6672 0.9400 (multiplicity 4)  1 P 1.51
17 O 0.1879 0.8086 0.4404 (multiplicity 4)  1 P 1.51
18 O 0.1895 0.5771 0.6246 (multiplicity 4)  1 P 1.56
19 O 0.1895 0.8985 0.1246 (multiplicity 4)  1 P 1.56



[2]
# SrLaZr2Mo

A relaxed structure of SrLaZr2Mo (PBEsol, Alexandria via LeMat-Bulk).

Properties
Total energy = -6.9080 eV/atom
E_form = 0.52 eV/atom
Volume = 148 Å³ per cell
Density of states at the Fermi level = 8.4 states/eV per cell
Total magnetization = 0.00 μB/f.u.

Cell: 5.2350 5.2350 5.3857 Å, 90.00 90.00 90.00°
With the nearest neighbours (Å) after each atom.
Space group P4/mmm (No. 123)
One atom of each set of equivalent atoms:
1 Sr 0.0000 0.0000 0.0000 (multiplicity 1)  4 La 3.70, 8 Zr 3.76
2 La 0.5000 0.5000 0.0000 (multiplicity 1)  2 Mo 2.69
3 Zr 0.0000 0.5000 0.5000 (multiplicity 2)  2 Mo 2.62
4 Mo 0.5000 0.5000 0.5000 (multiplicity 1)  4 Zr 2.62, 2 La 2.69



[3]
# Al2Cr

A relaxed structure of Al2Cr (PBEsol, Alexandria via LeMat-Bulk).

Properties
Total energy = -6.2143 eV/atom
E_form = -0.07 eV/atom
Volume = 166 Å³ per cell
Density of states at the Fermi level = 5.5 states/eV per cell
Total magnetization = 1.51 μB/f.u.

Cell: 5.1772 3.9166 8.1777 Å, 90.00 90.00 90.00°
With the nearest neighbours (Å) after each atom.
Space group Pnma (No. 62)
One atom of each set of equivalent atoms:
1 Al 0.1191 0.2500 0.2164 (multiplicity 4)  5 Cr 2.51-2.75, 5 Al 2.64-2.80
2 Al 0.1462 0.2500 0.5586 (multiplicity 4)  5 Cr 2.63-2.67, 5 Al 2.64-2.80
3 Cr 0.1444 0.2500 0.8803 (multiplicity 4)  10 Al 2.51-2.75



[4]
# Si4MoO10

A relaxed structure of Si4MoO10 (PBEsol, Alexandria via LeMat-Bulk).

Properties
Total energy = -8.2458 eV/atom
Energy relative to the elements, uncorrected = -2.4293 eV/atom
Volume = 921 Å³ per cell
Total magnetization = 0.06 μB/f.u.

Cell: 7.5945 7.5945 15.9736 Å, 90.00 90.00 90.00°
With the nearest neighbours (Å) after each atom.
Space group P4/ncc (No. 130, origin choice 2)
One atom of each set of equivalent atoms:
1 Si 0.0433 0.0469 0.1536 (multiplicity 16)  4 O 1.61-1.63
2 Mo 0.2500 0.2500 0.4207 (multiplicity 4)  4 O 1.86
3 O 0.0018 0.2478 0.6345 (multiplicity 16)  2 Si 1.62
4 O 0.0023 0.5023 0.2500 (multiplicity 8)  2 Si 1.61
5 O 0.0752 0.0808 0.4061 (multiplicity 16)  1 Si 1.63



[5]
# Ba2TlPb

A relaxed structure of Ba2TlPb (PBEsol, Alexandria via LeMat-Bulk).

Properties
Total energy = -3.2056 eV/atom
E_form = -0.47 eV/atom
Volume = 145 Å³ per cell
Density of states at the Fermi level = 2.5 states/eV per cell
Total magnetization = 0.00 μB/f.u.

Cell: 3.8373 4.8942 7.7390 Å, 90.00 90.00 90.00°
With the nearest neighbours (Å) after each atom.
Space group Pmmm (No. 47)
One atom of each set of equivalent atoms:
1 Ba 0.0000 0.0000 0.2450 (multiplicity 2)  4 Pb 3.64, 4 Tl 3.68, 4 Ba 3.79-3.95
2 Tl 0.5000 0.5000 0.5000 (multiplicity 1)  8 Ba 3.68, 2 Tl 3.84, 2 Pb 3.87
3 Pb 0.5000 0.5000 0.0000 (multiplicity 1)  8 Ba 3.64, 2 Pb 3.84, 2 Tl 3.87



[6]
# Ca2MnFeO5

A relaxed structure of Ca2MnFeO5 (PBEsol, Alexandria via LeMat-Bulk).

Properties
Total energy = -7.6411 eV/atom
Energy relative to the elements, uncorrected = -2.1703 eV/atom
Volume = 429 Å³ per cell
Density of states at the Fermi level = 12.3 states/eV per cell
Total magnetization = 8.01 μB/f.u.

Cell: 5.3088 14.6144 5.5299 Å, 90.00 90.00 90.00°
With the nearest neighbours (Å) after each atom.
Space group Pnma (No. 62)
One atom of each set of equivalent atoms:
1 Ca 0.0123 0.1080 0.0263 (multiplicity 8)  5 O 2.25-2.48
2 Mn 0.0000 0.0000 0.5000 (multiplicity 4)  6 O 1.92-1.99
3 Fe 0.0497 0.2500 0.5721 (multiplicity 4)  4 O 1.88-1.95
4 O 0.0170 0.6341 0.5593 (multiplicity 8)  1 Fe 1.88, 1 Mn 1.99
5 O 0.0838 0.7500 0.1029 (multiplicity 4)  2 Fe 1.93-1.95
6 O 0.2470 0.5131 0.2465 (multiplicity 8)  2 Mn 1.92-1.93



[7]
# CuOsRh2

A relaxed structure of CuOsRh2 (PBEsol, Alexandria via LeMat-Bulk).

Properties
Total energy = -8.1351 eV/atom
Energy above the lowest structure with this stoichiometry = 47.4 meV/atom
E_form = 0.07 eV/atom
Volume = 53 Å³ per cell
Density of states at the Fermi level = 3.3 states/eV per cell
Total magnetization = 0.00 μB/f.u.

Cell: 2.6910 3.7103 5.2644 Å, 90.00 90.00 90.00°
With the nearest neighbours (Å) after each atom.
Space group Pmmm (No. 47)
One atom of each set of equivalent atoms:
1 Cu 0.0000 0.0000 0.0000 (multiplicity 1)  2 Os 2.63, 8 Rh 2.64, 2 Cu 2.69
2 Os 0.0000 0.0000 0.5000 (multiplicity 1)  2 Cu 2.63, 8 Rh 2.64, 2 Os 2.69
3 Rh 0.5000 0.5000 0.2493 (multiplicity 2)  4 Rh 2.63-2.69, 4 Cu 2.64, 4 Os 2.64



[8]
# Rb2MgO

A relaxed structure of Rb2MgO (PBEsol, Alexandria via LeMat-Bulk).

Properties
Total energy = -2.2854 eV/atom
Energy relative to the elements, uncorrected = -0.0312 eV/atom
Volume = 454 Å³ per cell
Total magnetization = 0.00 μB/f.u.

Cell: 7.6849 7.6849 7.6849 Å, 90.00 90.00 90.00°
With the nearest neighbours (Å) after each atom.
Space group Fm-3m (No. 225)
One atom of each set of equivalent atoms:
1 Rb 0.2500 0.2500 0.2500 (multiplicity 8)  4 O 3.33, 4 Mg 3.33
2 Mg 0.0000 0.0000 0.0000 (multiplicity 4)  8 Rb 3.33
3 O 0.0000 0.0000 0.5000 (multiplicity 4)  8 Rb 3.33



[9]
# LiSc

A relaxed structure of LiSc (PBEsol, Alexandria via LeMat-Bulk).

Properties
Total energy = -4.0705 eV/atom
Energy above the lowest structure with this stoichiometry = 125.2 meV/atom
E_form = 0.22 eV/atom
Volume = 130 Å³ per cell
Density of states at the Fermi level = 6.8 states/eV per cell
Total magnetization = 0.00 μB/f.u.

Cell: 3.0977 3.0977 15.6830 Å, 90.00 90.00 120.00°
With the nearest neighbours (Å) after each atom.
Space group R-3m (No. 166, hexagonal axes)
One atom of each set of equivalent atoms:
1 Li 0.0000 0.0000 0.0000 (multiplicity 3)  6 Li 3.10, 6 Sc 3.17
2 Sc 0.0000 0.0000 0.5000 (multiplicity 3)  6 Sc 3.10, 6 Li 3.17



[10]
# MgCrMo3

A relaxed structure of MgCrMo3 (PBEsol, Alexandria via LeMat-Bulk).

Properties
Total energy = -7.0006 eV/atom
E_form = 2.45 eV/atom
Volume = 91 Å³ per cell
Density of states at the Fermi level = 6.8 states/eV per cell
Total magnetization = 2.58 μB/f.u.

Cell: 4.5022 4.5022 4.5022 Å, 90.00 90.00 90.00°
With the nearest neighbours (Å) after each atom.
Space group Pm-3m (No. 221)
One atom of each set of equivalent atoms:
1 Mg 0.0000 0.0000 0.0000 (multiplicity 1)  6 Mo 2.25
2 Cr 0.5000 0.5000 0.5000 (multiplicity 1)  12 Mo 3.18
3 Mo 0.0000 0.0000 0.5000 (multiplicity 3)  2 Mg 2.25



[11]
# Li2MgAs

A relaxed structure of Li2MgAs (PBEsol, Alexandria via LeMat-Bulk).

Properties
Total energy = -3.0127 eV/atom
Energy above the lowest structure with this stoichiometry = 167.4 meV/atom
E_form = -0.32 eV/atom
Volume = 70 Å³ per cell
Density of states at the Fermi level = 1.6 states/eV per cell
Total magnetization = 0.00 μB/f.u.

Cell: 3.3860 3.3860 6.1054 Å, 90.00 90.00 90.00°
With the nearest neighbours (Å) after each atom.
Space group P4mm (No. 99)
One atom of each set of equivalent atoms:
1 Li 0.0000 0.0000 0.0000 (multiplicity 1)  4 As 2.71, 4 Li 2.81, 1 Mg 2.84
2 Li 0.5000 0.5000 0.2415 (multiplicity 1)  1 As 2.75, 4 Li 2.81, 4 Mg 2.99
3 Mg 0.0000 0.0000 0.5353 (multiplicity 1)  5 Li 2.84-2.99, 4 As 2.86
4 As 0.5000 0.5000 0.7904 (multiplicity 1)  5 Li 2.71-2.75, 4 Mg 2.86



[12]
# Zr2CdCl

A relaxed structure of Zr2CdCl (PBEsol, Alexandria via LeMat-Bulk).

Properties
Total energy = -5.7468 eV/atom
Energy above the lowest structure with this stoichiometry = 0.0 meV/atom
Energy relative to the elements, uncorrected = -0.4007 eV/atom
Volume = 74 Å³ per cell
Density of states at the Fermi level = 3.0 states/eV per cell
Total magnetization = 0.00 μB/f.u.

Cell: 3.1078 3.1078 7.6821 Å, 90.00 90.00 90.00°
With the nearest neighbours (Å) after each atom.
Space group P4/mmm (No. 123)
One atom of each set of equivalent atoms:
1 Zr 0.0000 0.0000 0.2207 (multiplicity 2)  4 Cl 2.78, 4 Cd 3.07, 4 Zr 3.11
2 Cd 0.5000 0.5000 0.5000 (multiplicity 1)  8 Zr 3.07, 4 Cd 3.11
3 Cl 0.5000 0.5000 0.0000 (multiplicity 1)  8 Zr 2.78, 4 Cl 3.11